[1]
## SrY2PtCl (PBE-GGA)

Data for a geometry-optimized SrY2PtCl structure.

Output
VASP energy, eV/atom: -4.857
Volume, Å³ per cell: 138

Structure (POSCAR):
```
SrY2PtCl
1.0
5.070 0.000 0.000
0.000 5.372 0.000
0.000 0.000 5.070
Y Pt Sr Cl
2 1 1 1
Direct
0.000 0.000 0.500
0.500 0.000 0.000
0.500 0.500 0.500
0.000 0.500 0.000
0.000 0.000 0.000
```

[2]
## SrZnPtCl2 (PBE-GGA)

Data for a geometry-optimized SrZnPtCl2 structure.

Output
VASP energy, eV/atom: -2.927
Volume, Å³ per cell: 144

Structure (POSCAR):
```
SrZnPtCl2
1.0
5.021 0.000 0.000
0.000 5.717 0.000
0.000 0.000 5.021
Sr Pt Cl Zn
1 1 2 1
Direct
0.000 0.500 0.000
0.000 0.000 0.000
0.500 0.000 0.000
0.000 0.000 0.500
0.500 0.500 0.500
```

[3]
## Ta4PtCl (PBE-GGA)

Data for a geometry-optimized Ta4PtCl structure.

Output
VASP energy, eV/atom: -8.538
Volume, Å³ per cell: 115

Structure (POSCAR):
```
Ta4PtCl
1.0
-5.428 -0.499 -0.012
-3.037 3.185 3.217
-3.093 3.922 -2.184
Ta Cl Pt
4 1 1
Direct
0.878 0.374 0.374
0.374 0.374 0.878
0.374 0.878 0.374
0.374 0.374 0.374
0.750 0.750 0.750
0.000 0.000 0.000
```

[4]
## TaPt2Cl (PBE-GGA)

Data for a geometry-optimized TaPt2Cl structure.

Output
Polymorph energy (0 for the lowest one), eV/atom: 0.433
Volume, Å³ per cell: 66

Structure (POSCAR):
```
TaPt2Cl
1.0
4.525 0.000 0.000
2.262 3.919 0.000
2.262 1.306 3.695
Pt Cl Ta
2 1 1
Direct
0.250 0.250 0.250
0.000 0.000 0.000
0.500 0.500 0.500
0.750 0.750 0.750
```

[5]
## TaPtCl (PBE-GGA)

Data for a geometry-optimized TaPtCl structure.

Output
Polymorph energy (0 for the lowest one), eV/atom: 0.003
Volume, Å³ per cell: 64

Structure (POSCAR):
```
TaPtCl
1.0
-1.539 5.077 5.425
-4.165 4.885 4.046
-1.012 -1.758 2.173
Cl Ta Pt
1 1 1
Direct
0.052 0.052 0.948
0.666 0.666 0.334
0.283 0.283 0.717
```

[6]
## TaPtCl (PBE-GGA)

Data for a geometry-optimized TaPtCl structure.

Output
Polymorph energy (0 for the lowest one), eV/atom: 0.984
Volume, Å³ per cell: 62

Structure (POSCAR):
```
TaPtCl
1.0
-1.040 0.188 4.310
-2.991 -2.812 1.685
1.298 -3.240 2.739
Cl Ta Pt
1 1 1
Direct
0.500 0.500 0.500
0.000 0.000 0.000
0.750 0.750 0.750
```

[7]
## TaPt2Cl (PBE-GGA)

Data for a geometry-optimized TaPt2Cl structure.

Output
Polymorph energy (0 for the lowest one), eV/atom: 0.097
Volume, Å³ per cell: 88

Structure (POSCAR):
```
TaPt2Cl
1.0
7.493 0.097 -0.002
5.609 4.969 0.002
-6.169 -3.522 2.387
Pt Ta Cl
2 1 1
Direct
0.648 0.148 0.500
0.039 0.039 0.000
0.478 0.478 0.000
0.335 0.835 0.500
```

[8]
## TaPtCl4 (PBE-GGA)

Data for a geometry-optimized TaPtCl4 structure.

Output
VASP energy, eV/atom: -2.994
Volume, Å³ per cell: 113

Structure (POSCAR):
```
TaPtCl4
1.0
-5.152 1.060 1.328
-2.044 4.960 -0.808
-3.692 0.812 -3.891
Cl Ta Pt
4 1 1
Direct
0.875 0.375 0.375
0.375 0.875 0.375
0.375 0.375 0.875
0.375 0.375 0.375
0.000 0.000 0.000
0.750 0.750 0.750
```

[9]
## TaPtCl (PBE-GGA)

Data for a geometry-optimized TaPtCl structure.

Output
Polymorph energy (0 for the lowest one), eV/atom: 0.000
Volume, Å³ per cell: 58

Structure (POSCAR):
```
TaPtCl
1.0
-2.522 1.430 -0.714
0.503 -0.819 2.827
3.341 6.544 1.301
Ta Pt Cl
1 1 1
Direct
0.333 0.667 0.679
0.667 0.333 0.392
0.000 0.000 0.929
```

[10]
## TaPt2Cl (PBE-GGA)

Data for a geometry-optimized TaPt2Cl structure.

Output
Polymorph energy (0 for the lowest one), eV/atom: 0.127
Volume, Å³ per cell: 70

Structure (POSCAR):
```
TaPt2Cl
1.0
3.007 0.000 0.000
0.000 3.007 0.000
0.000 0.000 7.761
Pt Cl Ta
2 1 1
Direct
0.000 0.000 0.024
0.000 0.000 0.476
0.500 0.500 0.750
0.500 0.500 0.250
```

[11]
## TaPt2Cl (PBE-GGA)

Data for a geometry-optimized TaPt2Cl structure.

Output
Polymorph energy (0 for the lowest one), eV/atom: 0.760
Volume, Å³ per cell: 67

Structure (POSCAR):
```
TaPt2Cl
1.0
4.629 0.000 0.000
0.000 3.810 0.000
0.000 0.000 3.810
Cl Pt Ta
1 2 1
Direct
0.500 0.000 0.500
0.000 0.000 0.000
0.000 0.500 0.500
0.500 0.500 0.000
```

[12]
## TaPt2Cl (PBE-GGA)

Data for a geometry-optimized TaPt2Cl structure.

Output
Polymorph energy (0 for the lowest one), eV/atom: 0.353
Volume, Å³ per cell: 70

Structure (POSCAR):
```
TaPt2Cl
1.0
-4.886 2.107 -2.595
-5.113 -2.939 -0.522
4.313 2.476 3.212
Ta Cl Pt
1 1 2
Direct
0.750 0.250 0.500
0.250 0.750 0.500
0.529 0.529 0.000
0.971 0.971 0.000
```

[13]
## TaPt2Cl (PBE-GGA)

Data for a geometry-optimized TaPt2Cl structure.

Output
Polymorph energy (0 for the lowest one), eV/atom: 0.584
Volume, Å³ per cell: 67

Structure (POSCAR):
```
TaPt2Cl
1.0
4.934 -0.045 0.000
1.569 4.678 0.000
-3.251 -2.317 2.900
Pt Ta Cl
2 1 1
Direct
0.000 0.000 0.000
0.500 0.500 0.000
0.250 0.750 0.500
0.750 0.250 0.500
```

[14]
## TaPt2Cl (PBE-GGA)

Data for a geometry-optimized TaPt2Cl structure.

Output
Polymorph energy (0 for the lowest one), eV/atom: 0.532
Volume, Å³ per cell: 182

Structure (POSCAR):
```
TaPt2Cl
1.0
-5.511 -3.104 1.769
0.665 -4.086 -5.099
-0.167 -6.230 0.740
Ta Cl Pt
2 2 4
Direct
0.750 0.250 0.500
0.000 0.000 0.000
0.250 0.750 0.500
0.500 0.500 0.000
0.107 0.625 0.250
0.375 0.357 0.750
0.643 0.125 0.250
0.875 0.893 0.750
```

[15]
## TaPt2Cl (PBE-GGA)

Data for a geometry-optimized TaPt2Cl structure.

Output
Polymorph energy (0 for the lowest one), eV/atom: 0.050
Volume, Å³ per cell: 72

Structure (POSCAR):
```
TaPt2Cl
1.0
-2.686 -0.926 1.485
1.239 -2.458 0.709
5.090 -1.670 8.164
Ta Pt Cl
1 2 1
Direct
0.500 0.250 0.250
0.000 0.309 0.470
0.000 0.191 0.030
0.500 0.750 0.750
```

[16]
## TaPt2Cl (PBE-GGA)

Data for a geometry-optimized TaPt2Cl structure.

Output
Polymorph energy (0 for the lowest one), eV/atom: 0.049
Volume, Å³ per cell: 90

Structure (POSCAR):
```
TaPt2Cl
1.0
-2.263 3.346 -2.539
-2.237 0.880 -4.121
-6.325 -1.436 2.135
Cl Pt Ta
1 2 1
Direct
0.106 0.106 0.294
0.060 0.060 0.905
0.800 0.800 0.716
0.534 0.534 0.585
```

[17]
## TaPt2Cl (PBE-GGA)

Data for a geometry-optimized TaPt2Cl structure.

Output
Polymorph energy (0 for the lowest one), eV/atom: 0.801
Volume, Å³ per cell: 69

Structure (POSCAR):
```
TaPt2Cl
1.0
4.965 0.000 0.000
0.000 4.965 0.000
0.000 0.000 2.819
Pt Cl Ta
2 1 1
Direct
0.500 0.500 0.000
0.000 0.000 0.000
0.000 0.500 0.500
0.500 0.000 0.500
```

[18]
## TaPt2Cl (PBE-GGA)

Data for a geometry-optimized TaPt2Cl structure.

Output
Polymorph energy (0 for the lowest one), eV/atom: 0.211
Volume, Å³ per cell: 74

Structure (POSCAR):
```
TaPt2Cl
1.0
-2.789 -0.711 -0.474
0.849 -2.489 -1.262
-0.288 -3.995 7.687
Pt Ta Cl
2 1 1
Direct
0.500 0.500 0.283
0.000 0.000 0.051
0.000 0.000 0.488
0.500 0.500 0.677
```

[19]
## TaPt2Cl (PBE-GGA)

Data for a geometry-optimized TaPt2Cl structure.

Output
Polymorph energy (0 for the lowest one), eV/atom: 0.615
Volume, Å³ per cell: 69

Structure (POSCAR):
```
TaPt2Cl
1.0
-2.671 -1.864 3.254
0.424 1.352 4.381
-3.322 2.508 1.967
Ta Pt Cl
1 2 1
Direct
0.500 0.500 0.500
0.250 0.250 0.250
0.750 0.750 0.750
0.000 0.000 0.000
```

[20]
## TaPt2Cl (PBE-GGA)

Data for a geometry-optimized TaPt2Cl structure.

Output
Polymorph energy (0 for the lowest one), eV/atom: 0.000
Volume, Å³ per cell: 88

Structure (POSCAR):
```
TaPt2Cl
1.0
-0.532 -0.056 -2.866
3.092 -2.377 -0.528
-3.583 -6.835 0.798
Ta Pt Cl
1 2 1
Direct
0.000 0.733 0.431
0.000 0.836 0.095
0.500 0.279 0.282
0.500 0.653 0.692
```

[21]
## TaPtCl (PBE-GGA)

Data for a geometry-optimized TaPtCl structure.

Output
Polymorph energy (0 for the lowest one), eV/atom: 0.455
Volume, Å³ per cell: 58

Structure (POSCAR):
```
TaPtCl
1.0
4.355 0.000 0.000
2.178 3.772 0.000
2.178 1.257 3.556
Pt Cl Ta
1 1 1
Direct
0.500 0.500 0.500
0.000 0.000 0.000
0.750 0.750 0.750
```

[22]
## TaPt2Cl (PBE-GGA)

Data for a geometry-optimized TaPt2Cl structure.

Output
Polymorph energy (0 for the lowest one), eV/atom: 0.147
Volume, Å³ per cell: 71

Structure (POSCAR):
```
TaPt2Cl
1.0
-7.174 4.622 4.783
-8.758 2.486 3.582
-7.368 2.029 6.107
Cl Pt Ta
1 2 1
Direct
0.769 0.769 0.769
0.242 0.242 0.242
0.989 0.989 0.989
0.500 0.500 0.500
```

[23]
## TaPt2Cl (PBE-GGA)

Data for a geometry-optimized TaPt2Cl structure.

Output
Polymorph energy (0 for the lowest one), eV/atom: 0.035
Volume, Å³ per cell: 78

Structure (POSCAR):
```
TaPt2Cl
1.0
-2.813 -6.365 3.786
-3.228 -7.218 0.495
-0.188 -7.661 2.009
Pt Cl Ta
2 1 1
Direct
0.990 0.990 0.990
0.510 0.510 0.510
0.750 0.750 0.750
0.250 0.250 0.250
```

[24]
## TaPt2Cl (PBE-GGA)

Data for a geometry-optimized TaPt2Cl structure.

Output
Polymorph energy (0 for the lowest one), eV/atom: 0.588
Volume, Å³ per cell: 67

Structure (POSCAR):
```
TaPt2Cl
1.0
5.195 -0.024 -0.084
-2.518 4.544 -0.084
0.054 0.090 2.862
Cl Ta Pt
1 1 2
Direct
0.000 0.500 0.500
0.500 0.000 0.500
0.000 0.000 0.000
0.500 0.500 0.000
```

[25]
## TaPt2Cl (PBE-GGA)

Data for a geometry-optimized TaPt2Cl structure.

Output
Polymorph energy (0 for the lowest one), eV/atom: 0.568
Volume, Å³ per cell: 66

Structure (POSCAR):
```
TaPt2Cl
1.0
-1.873 0.859 2.019
1.590 -3.200 2.836
3.408 3.266 1.773
Cl Pt Ta
1 2 1
Direct
0.000 0.500 0.500
0.500 0.500 0.000
0.000 0.000 0.000
0.500 0.000 0.500
```

[26]
## TbPtCl (PBE-GGA)

Data for a geometry-optimized TbPtCl structure.

Output
VASP energy, eV/atom: -5.608
Volume, Å³ per cell: 306

Structure (POSCAR):
```
TbPtCl
1.0
5.308 -0.255 -0.203
1.173 8.009 1.276
1.168 2.888 7.579
Cl Tb Pt
4 4 4
Direct
0.239 0.659 0.909
0.761 0.841 0.591
0.239 0.159 0.409
0.761 0.341 0.091
0.970 0.516 0.266
0.970 0.016 0.766
0.030 0.984 0.234
0.030 0.484 0.734
0.664 0.859 0.109
0.336 0.641 0.391
0.664 0.359 0.609
0.336 0.141 0.891
```

[27]
## Tb2PtCl2 (PBE-GGA)

Data for a geometry-optimized Tb2PtCl2 structure.

Output
VASP energy, eV/atom: -5.495
Volume, Å³ per cell: 142

Structure (POSCAR):
```
Tb2PtCl2
1.0
-3.338 -0.867 -1.933
-1.407 -3.694 0.044
-7.134 0.697 7.964
Cl Tb Pt
2 2 1
Direct
0.224 0.224 0.327
0.776 0.776 0.673
0.613 0.613 0.161
0.387 0.387 0.839
0.000 0.000 0.000
```

[28]
## Tb4PtCl5 (PBE-GGA)

Data for a geometry-optimized Tb4PtCl5 structure.

Output
VASP energy, eV/atom: -5.138
Volume, Å³ per cell: 298

Structure (POSCAR):
```
Tb4PtCl5
1.0
3.979 0.000 0.000
0.000 8.326 -0.373
-1.990 -1.564 9.065
Tb Cl Pt
4 5 1
Direct
0.996 0.772 0.993
0.652 0.079 0.304
0.348 0.921 0.696
0.004 0.228 0.007
0.820 0.139 0.640
0.832 0.685 0.665
0.168 0.315 0.335
0.500 0.500 0.000
0.180 0.861 0.360
0.500 0.000 0.000
```

[29]
## TcPt2Cl (PBE-GGA)

Data for a geometry-optimized TcPt2Cl structure.

Output
Polymorph energy (0 for the lowest one), eV/atom: 0.233
Volume, Å³ per cell: 68

Structure (POSCAR):
```
TcPt2Cl
1.0
-0.749 0.422 -2.703
-1.894 -0.849 1.933
-2.119 9.403 2.055
Pt Cl Tc
2 1 1
Direct
0.500 0.500 0.271
0.000 0.000 0.023
0.500 0.500 0.702
0.000 0.000 0.504
```